(A)
Entry from the Alexandria database: crystalline MgBi3W at its relaxed geometry (PBE).

Lattice parameters (Å, degrees): 5.3928 5.3928 5.3928 90.00 90.00 90.00
Last column: nearest neighbours and their distance in Å.
Space group Pm-3m (No. 221)
Unique sites:
Mg (0.0000, 0.0000, 0.0000) x1  6 Bi 2.70
Bi (0.0000, 0.0000, 0.5000) x3  2 Mg 2.70
W (0.5000, 0.5000, 0.5000) x1  12 Bi 3.81


(B)
Entry from the Alexandria database: crystalline MgBi3W at its relaxed geometry (PBE).

Lattice parameters (Å, degrees): 5.4470 5.4470 5.4470 90.00 90.00 90.00
Last column: nearest neighbours and their distance in Å.
Space group Pm-3m (No. 221)
Unique sites:
Mg (0.0000, 0.0000, 0.0000) x1  12 Bi 3.85
Bi (0.0000, 0.5000, 0.5000) x3  2 W 2.72
W (0.5000, 0.5000, 0.5000) x1  6 Bi 2.72


Stability summary: most stable (B), least stable (A).


(A)
Entry from the Alexandria database: crystalline Mg2Bi2W at its relaxed geometry (PBE).

Lattice parameters (Å, degrees): 7.5882 7.5882 4.0664 90.00 90.00 90.00
Last column: nearest neighbours and their distance in Å.
Space group P4/mbm (No. 127)
Unique sites:
Mg (0.1390, 0.3610, 0.0000) x4  6 Bi 2.88-3.12, 2 W 2.94, 1 Mg 2.98
Bi (0.1707, 0.6707, 0.5000) x4  6 Mg 2.88-3.12
W (0.0000, 0.0000, 0.0000) x2  4 Mg 2.94


(B)
Entry from the Alexandria database: crystalline Mg2Bi2W at its relaxed geometry (PBE).

Lattice parameters (Å, degrees): 4.4810 4.4810 13.9497 90.00 90.00 90.00
Last column: nearest neighbours and their distance in Å.
Space group I4/mmm (No. 139)
Unique sites:
Mg (0.0000, 0.0000, 0.0957) x4  1 Mg 2.67
Bi (0.0000, 0.5000, 0.2500) x4  4 Mg 3.11, 4 Bi 3.17
W (0.0000, 0.0000, 0.5000) x2  8 Mg 3.44


Stability summary: most stable (A), least stable (B).


(A)
Entry from the Alexandria database: crystalline MgZnBi2 at its relaxed geometry (PBE).

Lattice parameters (Å, degrees): 6.9652 6.9652 11.1568 90.00 90.00 90.00
Last column: nearest neighbours and their distance in Å.
Space group I-42d (No. 122)
Unique sites:
Mg (0.0000, 0.0000, 0.0000) x4  4 Bi 2.94
Zn (0.0000, 0.0000, 0.5000) x4  4 Bi 2.73
Bi (0.2250, 0.2500, 0.6250) x8  2 Zn 2.73, 2 Mg 2.94


(B)
Entry from the Alexandria database: crystalline MgZnBi2 at its relaxed geometry (PBE).

Lattice parameters (Å, degrees): 4.9192 4.9192 4.2490 90.00 90.00 90.00
Last column: nearest neighbours and their distance in Å.
Space group P4/mmm (No. 123)
Unique sites:
Mg (0.0000, 0.0000, 0.0000) x1  8 Bi 3.25, 4 Zn 3.48
Zn (0.5000, 0.5000, 0.0000) x1  8 Bi 3.25, 4 Mg 3.48
Bi (0.0000, 0.5000, 0.5000) x2  4 Mg 3.25, 4 Zn 3.25, 4 Bi 3.48


(C)
Entry from the Alexandria database: crystalline MgZnBi2 at its relaxed geometry (PBE).

Lattice parameters (Å, degrees): 3.4318 3.4318 33.1620 90.00 90.00 120.00
Last column: nearest neighbours and their distance in Å.
Space group R-3m (No. 166, hexagonal axes)
Unique sites:
Mg (0.0000, 0.0000, 0.0000) x3  2 Bi 3.22, 6 Mg 3.43
Zn (0.0000, 0.0000, 0.5000) x3  6 Bi 3.04
Bi (0.0000, 0.0000, 0.0971) x6  3 Zn 3.04, 1 Mg 3.22


(D)
Entry from the Alexandria database: crystalline MgZnBi2 at its relaxed geometry (PBE).

Lattice parameters (Å, degrees): 3.4572 3.4572 8.6873 90.00 90.00 90.00
Last column: nearest neighbours and their distance in Å.
Space group P4/mmm (No. 123)
Unique sites:
Mg (0.0000, 0.0000, 0.0000) x1  8 Bi 3.29, 4 Mg 3.46
Zn (0.0000, 0.0000, 0.5000) x1  8 Bi 3.25, 4 Zn 3.46
Bi (0.5000, 0.5000, 0.2539) x2  4 Zn 3.25, 4 Mg 3.29, 4 Bi 3.46


Stability summary: most stable (D), least stable (A).


(A)
Entry from the Alexandria database: crystalline MgZnBi2 at its relaxed geometry (PBE).

Lattice parameters (Å, degrees): 7.4336 7.4336 7.4336 90.00 90.00 90.00
Last column: nearest neighbours and their distance in Å.
Space group Fm-3m (No. 225)
Unique sites:
Mg (0.0000, 0.0000, 0.0000) x4  8 Bi 3.22
Zn (0.0000, 0.0000, 0.5000) x4  8 Bi 3.22
Bi (0.2500, 0.2500, 0.2500) x8  4 Mg 3.22, 4 Zn 3.22


(B)
Entry from the Alexandria database: crystalline MgZnBi2 at its relaxed geometry (PBE).

Lattice parameters (Å, degrees): 8.6498 4.4240 6.6678 90.00 110.64 90.00
Last column: nearest neighbours and their distance in Å.
Space group Cm (No. 8)
Unique sites:
Mg (0.0000, 0.0000, 0.0000) x2  5 Bi 2.90-3.13, 1 Zn 3.15
Zn (0.4612, 0.5000, 0.5120) x2  5 Bi 2.80-2.98
Bi (0.3071, 0.0000, 0.6758) x2  3 Zn 2.80-2.98, 2 Mg 3.13
Bi (0.3566, 0.0000, 0.2063) x2  3 Mg 2.90-3.09, 2 Zn 2.93


Stability summary: most stable (B), least stable (A).


(A)
Entry from the Alexandria database: crystalline Mg2ZnBi2 at its relaxed geometry (PBE).

Lattice parameters (Å, degrees): 5.2878 5.2878 11.3067 90.00 90.00 90.00
Last column: nearest neighbours and their distance in Å.
Space group I4/mmm (No. 139)
Unique sites:
Mg (0.0000, 0.5000, 0.2500) x4  4 Bi 2.97
Zn (0.0000, 0.0000, 0.0000) x2  8 Mg 3.87, 10 Bi 4.02-4.17
Bi (0.0000, 0.0000, 0.3688) x4  4 Mg 2.97, 1 Bi 2.97


(B)
Entry from the Alexandria database: crystalline Mg2ZnBi2 at its relaxed geometry (PBE).

Lattice parameters (Å, degrees): 8.7810 8.7810 3.4987 90.00 90.00 90.00
Last column: nearest neighbours and their distance in Å.
Space group P4/mbm (No. 127)
Unique sites:
Mg (0.1336, 0.3664, 0.0000) x4  6 Bi 3.04-3.17, 1 Mg 3.32
Zn (0.0000, 0.0000, 0.5000) x2  4 Bi 3.28, 2 Zn 3.50
Bi (0.1658, 0.6658, 0.5000) x4  6 Mg 3.04-3.17, 2 Zn 3.28


Stability summary: most stable (B), least stable (A).


(A)
Entry from the Alexandria database: crystalline MgZr3Bi at its relaxed geometry (PBE).

Lattice parameters (Å, degrees): 5.0839 5.0839 5.0839 90.00 90.00 90.00
Last column: nearest neighbours and their distance in Å.
Space group Pm-3m (No. 221)
Unique sites:
Mg (0.0000, 0.0000, 0.0000) x1  6 Zr 2.54
Zr (0.0000, 0.0000, 0.5000) x3  2 Mg 2.54
Bi (0.5000, 0.5000, 0.5000) x1  12 Zr 3.59


(B)
Entry from the Alexandria database: crystalline MgZr3Bi at its relaxed geometry (PBE).

Lattice parameters (Å, degrees): 5.4231 5.4231 5.4231 90.00 90.00 90.00
Last column: nearest neighbours and their distance in Å.
Space group Pm-3m (No. 221)
Unique sites:
Mg (0.0000, 0.0000, 0.0000) x1  12 Zr 3.83
Zr (0.0000, 0.5000, 0.5000) x3  2 Bi 2.71
Bi (0.5000, 0.5000, 0.5000) x1  6 Zr 2.71


Stability summary: most stable (A), least stable (B).


(A)
Entry from the Alexandria database: crystalline Mg2Zr2Bi at its relaxed geometry (PBE).

Lattice parameters (Å, degrees): 7.3880 7.3880 4.3184 90.00 90.00 90.00
Last column: nearest neighbours and their distance in Å.
Space group P4/mbm (No. 127)
Unique sites:
Mg (0.1323, 0.3677, 0.0000) x4  1 Mg 2.76, 2 Bi 2.89, 6 Zr 3.05-3.08
Zr (0.1577, 0.6577, 0.5000) x4  6 Mg 3.05-3.08, 1 Zr 3.29
Bi (0.0000, 0.0000, 0.0000) x2  4 Mg 2.89


(B)
Entry from the Alexandria database: crystalline Mg2Zr2Bi at its relaxed geometry (PBE).

Lattice parameters (Å, degrees): 7.5104 7.5104 4.5631 90.00 90.00 90.00
Last column: nearest neighbours and their distance in Å.
Space group P4/mbm (No. 127)
Unique sites:
Mg (0.1491, 0.3509, 0.0000) x4  6 Zr 3.17, 1 Mg 3.17
Zr (0.1432, 0.6432, 0.5000) x4  2 Bi 2.89, 1 Zr 3.04, 6 Mg 3.17
Bi (0.0000, 0.0000, 0.5000) x2  4 Zr 2.89


Stability summary: most stable (B), least stable (A).


(A)
Entry from the Alexandria database: crystalline Mg6ZrBi at its relaxed geometry (PBE).

Lattice parameters (Å, degrees): 5.2969 6.1967 11.3888 90.00 90.00 90.00
Last column: nearest neighbours and their distance in Å.
Space group Amm2 (No. 38)
Unique sites:
Mg (0.0000, 0.0000, 0.0000) x2  10 Mg 3.10-3.37, 2 Bi 3.26
Mg (0.0000, 0.0000, 0.4926) x2  10 Mg 3.10-3.25, 2 Zr 3.21
Mg (0.0000, 0.2403, 0.2402) x4  7 Mg 2.98-3.25, 2 Zr 3.22, 2 Bi 3.28
Mg (0.5000, 0.2474, 0.5829) x4  8 Mg 3.07-3.23, 2 Zr 3.23-3.25, 2 Bi 3.24
Zr (0.5000, 0.0000, 0.3334) x2  2 Bi 3.10, 10 Mg 3.21-3.25
Bi (0.5000, 0.0000, 0.8336) x2  2 Zr 3.10, 10 Mg 3.24-3.28


(B)
Entry from the Alexandria database: crystalline Mg6ZrBi at its relaxed geometry (PBE).

Lattice parameters (Å, degrees): 4.7303 7.9004 10.0112 90.00 90.00 90.00
Last column: nearest neighbours and their distance in Å.
Space group Amm2 (No. 38)
Unique sites:
Mg (0.0000, 0.0000, 0.0000) x2  10 Mg 3.08-3.34, 2 Zr 3.27
Mg (0.0000, 0.2212, 0.7154) x4  6 Mg 3.01-3.34, 2 Bi 3.12-3.30, 2 Zr 3.23
Mg (0.5000, 0.0000, 0.7800) x2  10 Mg 3.01-3.36
Mg (0.5000, 0.2369, 0.5007) x4  6 Mg 3.03-3.36, 2 Zr 3.06-3.34, 2 Bi 3.08
Zr (0.5000, 0.0000, 0.2250) x2  10 Mg 3.06-3.34, 2 Bi 3.17
Bi (0.0000, 0.0000, 0.4362) x2  8 Mg 3.08-3.30, 2 Zr 3.17


Stability summary: most stable (B), least stable (A).